Density functional theory data (GGA+U) for a geometry-optimized PrIn2MoO8 structure.

Cell lengths 4.9528, 4.9528, 6.8545 Å; angles 90.00, 90.00, 90.12 degrees
Last column: nearest neighbours and their distance in Å.
Element x y z (fractional)
Pr: 0.0000 0.0000 0.0000  6 O 2.27-2.41
In: 0.5000 0.5000 0.2631  6 O 2.18-2.21
In: 0.5000 0.5000 0.7369  6 O 2.18-2.21
Mo: 0.0000 0.0000 0.5000  6 O 1.93-2.00
O: 0.1884 0.8116 0.2949  1 Mo 1.93
O: 0.1884 0.8116 0.7051  1 Mo 1.93
O: 0.2853 0.2853 0.5000  1 Mo 2.00, 2 In 2.21
O: 0.3250 0.3250 0.0000  2 In 2.18, 1 Pr 2.27
O: 0.6750 0.6750 0.0000  2 In 2.18, 1 Pr 2.27
O: 0.7147 0.7147 0.5000  1 Mo 2.00, 2 In 2.21
O: 0.8116 0.1884 0.2949  1 Mo 1.93
O: 0.8116 0.1884 0.7051  1 Mo 1.93

Output
final energy	-78.23	eV/cell
symmetry	Cmmm